No. 1
Crystalline NdTiCu4 at its relaxed geometry, computed with PBE-GGA.

Unit cell a=5.144 b=5.144 c=5.144 alpha=60.00 beta=60.00 gamma=60.00
Fractional positions:
Nd 0.000 0.000 0.000
Ti 0.250 0.250 0.250
Cu 0.130 0.623 0.623
Cu 0.623 0.130 0.623
Cu 0.623 0.623 0.130
Cu 0.623 0.623 0.623

Calculated values
Size of the total moment ... 0.25 μB/atom
Energy relative to the elements ... 24 meV/atom
Symmetry ... No. 216
Raw total energy ... -4.817 eV/atom

***

No. 2
Crystalline BaAgMo2 at its relaxed geometry, computed with PBE-GGA.

Unit cell a=4.150 b=4.150 c=10.221 alpha=90.00 beta=90.00 gamma=90.00
Fractional positions:
Ba 0.000 0.000 0.000
Ba 0.500 0.500 0.500
Ag 0.000 0.000 0.500
Ag 0.500 0.500 0.000
Mo 0.000 0.500 0.250
Mo 0.000 0.500 0.750
Mo 0.500 0.000 0.250
Mo 0.500 0.000 0.750

Calculated values
Size of the total moment ... 0.00 μB/atom
Energy relative to the elements ... 1321 meV/atom
Symmetry ... No. 139
Raw total energy ... -5.288 eV/atom

***

No. 3
Crystalline BeTeSI2 at its relaxed geometry, computed with PBE-GGA.

Unit cell a=4.844 b=4.844 c=5.797 alpha=90.00 beta=90.00 gamma=90.00
Fractional positions:
Be 0.000 0.000 0.000
Te 0.000 0.000 0.500
S 0.500 0.500 0.500
I 0.000 0.500 0.000
I 0.500 0.000 0.000

Calculated values
Size of the total moment ... 0.00 μB/atom
Symmetry ... No. 123
Raw total energy ... -2.228 eV/atom
Energy relative to the elements, uncorrected ... 57 kJ per mole of atoms